# TaOs3 | the Alexandria database | GGA-PBE | optimized geometry
data_TaOs3
_chemical_formula_sum 'Ta2 Os6'
_cell_length_a 5.577
_cell_length_b 5.596
_cell_length_c 4.518
_cell_angle_alpha 90.00
_cell_angle_beta 90.00
_cell_angle_gamma 120.12
_space_group_name_H-M_alt 'P 1'
_space_group_IT_number 1
_space_group_name_Hall 'P 1'
loop_
_atom_site_label
_atom_site_type_symbol
_atom_site_fract_x
_atom_site_fract_y
_atom_site_fract_z
Os1 Os 0.006 0.003 0.000
Os2 Os 0.489 0.490 0.000
Os3 Os 0.489 0.999 0.000
Os4 Os 0.327 0.164 0.500
Os5 Os 0.844 0.676 0.500
Os6 Os 0.844 0.168 0.500
Ta1 Ta 0.974 0.487 0.000
Ta2 Ta 0.360 0.680 0.500
# formation energy from the elements: -0.064 eV per atom
# total moment: 0.00 μB per formula unit
# ρ: 20.46 g/cm³